(1)
Below is Tc2MoRh after structural relaxation, with properties calculated at the GGA-PBE level.

```
Tc2MoRh
1.0
0.000 3.106 3.106
3.106 0.000 3.106
3.106 3.106 0.000
Rh Tc Mo
1 2 1
Direct
0.500 0.500 0.500
0.750 0.750 0.750
0.250 0.250 0.250
0.000 0.000 0.000
```

Computed properties:
* D(E_F): 6.0 states/eV per cell
* volume: 60.0 Å³ per cell
* uncorrected energy: -37.94 eV per cell
* energy of formation from the pure elements: 243 meV per atom

=====

(2)
Below is BeCdPt3 after structural relaxation, with properties calculated at the GGA-PBE level.

```
BeCdPt3
1.0
22.431 0.000 2.565
0.000 4.736 0.000
-7.275 0.000 2.082
Pt Be Cd
12 4 4
Direct
0.022 0.458 0.736
0.647 0.553 0.708
0.336 0.912 0.032
0.522 0.042 0.236
0.664 0.088 0.968
0.478 0.958 0.764
0.853 0.053 0.792
0.353 0.447 0.292
0.978 0.542 0.264
0.147 0.947 0.208
0.164 0.412 0.468
0.836 0.588 0.532
0.571 0.647 0.789
0.429 0.353 0.211
0.929 0.147 0.711
0.071 0.853 0.289
0.346 0.513 0.648
0.846 0.987 0.148
0.654 0.487 0.352
0.154 0.013 0.852
```

Computed properties:
* D(E_F): 11.1 states/eV per cell
* volume: 309.6 Å³ per cell
* uncorrected energy: -97.63 eV per cell
* energy of formation from the pure elements: -329 meV per atom